(1)
Below is a PBEsol-optimized structure of Li2ZrFe, with properties calculated at the meta-GGA SCAN level.

**ΔE to the lowest computed polymorph**: 0.42 eV/f.u.
**Total energy**: -52.1 eV per cell
**DFT formation energy**: 0.386 eV per atom
**Magnetization**: 0.334 μB per atom

The structure in POSCAR format:
```
Li2ZrFe
1.0
-1.5715 2.4216 4.0232
1.5715 -2.4216 4.0232
1.5715 2.4216 -4.0232
Li Zr Fe
2 1 1
direct
0.0000 0.0000 0.0000 Li
0.7550 0.2550 0.5000 Li
0.4639 0.4639 0.0000 Zr
0.2343 0.7343 0.5000 Fe
```

=====

(2)
Below is a PBEsol-optimized structure of Al3Pt2, with properties calculated at the meta-GGA SCAN level.

**Total energy**: -170.0 eV per cell
**DFT formation energy**: -1.265 eV per atom
**Magnetization**: 0.000 μB per atom

The structure in POSCAR format:
```
Al3Pt2
1.0
4.2006 0.0000 0.0000
-2.1003 3.6378 0.0000
0.0000 0.0000 5.1793
Al Pt
3 2
direct
0.0000 0.0000 0.0000 Al
0.3333 0.6667 0.6463 Al
0.6667 0.3333 0.3537 Al
0.3333 0.6667 0.1641 Pt
0.6667 0.3333 0.8359 Pt
```